Material: CaPr3Ru
Method: DFT, GGA-PBE
State: optimized geometry

Output
The value obtained for the formation energy is -0.07 eV/atom. The volume comes out at 33.28 Å³/atom.

abc: 7.7125 7.7125 11.4030
angles: 91.21 91.21 29.40
Fractional positions:
Ca (0.1725, 0.1725, 0.0916)
Ca (0.8275, 0.8275, 0.9084)
Pr (0.0670, 0.0670, 0.3809)
Pr (0.2098, 0.2098, 0.6500)
Pr (0.4438, 0.4438, 0.1528)
Pr (0.5562, 0.5562, 0.8472)
Pr (0.7902, 0.7902, 0.3500)
Pr (0.9330, 0.9330, 0.6191)
Ru (0.4216, 0.4216, 0.4026)
Ru (0.5784, 0.5784, 0.5974)